(1)
CaHgBiSb after structural relaxation, computed with PBE-GGA.

Summary:
- Energy relative to the lowest polymorph listed for this composition: 0.100 eV per atom
- ΔE_f (raw): -309 meV per atom

The structure in CIF format:
```
data_CaHgBiSb
_chemical_formula_sum 'Ca4 Hg4 Bi4 Sb4'
_cell_length_a 7.7483
_cell_length_b 7.7483
_cell_length_c 7.7483
_cell_angle_alpha 90.00
_cell_angle_beta 90.00
_cell_angle_gamma 90.00
_space_group_name_H-M_alt 'P 1'
_space_group_IT_number 1
loop_
_space_group_symop_operation_xyz
'x,y,z'
loop_
_atom_site_label
_atom_site_type_symbol
_atom_site_fract_x
_atom_site_fract_y
_atom_site_fract_z
Ca1 Ca 0.0000 0.0000 0.0000
Ca2 Ca 0.0000 0.5000 0.5000
Ca3 Ca 0.5000 0.0000 0.5000
Ca4 Ca 0.5000 0.5000 0.0000
Hg1 Hg 0.2500 0.2500 0.7500
Hg2 Hg 0.2500 0.7500 0.2500
Hg3 Hg 0.7500 0.2500 0.2500
Hg4 Hg 0.7500 0.7500 0.7500
Bi1 Bi 0.0000 0.0000 0.5000
Bi2 Bi 0.0000 0.5000 0.0000
Bi3 Bi 0.5000 0.0000 0.0000
Bi4 Bi 0.5000 0.5000 0.5000
Sb1 Sb 0.2500 0.2500 0.2500
Sb2 Sb 0.2500 0.7500 0.7500
Sb3 Sb 0.7500 0.2500 0.7500
Sb4 Sb 0.7500 0.7500 0.2500
```



(2)
Zn4SF5 after structural relaxation, computed with PBE-GGA.

Summary:
- ΔE_f (raw): -1715 meV per atom

The structure in CIF format:
```
data_Zn4SF5
_chemical_formula_sum 'Zn8 S2 F10'
_cell_length_a 6.5016
_cell_length_b 8.0497
_cell_length_c 5.3793
_cell_angle_alpha 90.00
_cell_angle_beta 90.00
_cell_angle_gamma 90.00
_space_group_name_H-M_alt 'P 1'
_space_group_IT_number 1
loop_
_space_group_symop_operation_xyz
'x,y,z'
loop_
_atom_site_label
_atom_site_type_symbol
_atom_site_fract_x
_atom_site_fract_y
_atom_site_fract_z
Zn1 Zn 0.0358 0.2500 0.0015
Zn2 Zn 0.2500 0.0012 0.4782
Zn3 Zn 0.2500 0.4988 0.4782
Zn4 Zn 0.4642 0.2500 0.0015
Zn5 Zn 0.5358 0.7500 0.9985
Zn6 Zn 0.7500 0.5012 0.5218
Zn7 Zn 0.7500 0.9988 0.5218
Zn8 Zn 0.9642 0.7500 0.9985
S1 S 0.2500 0.7500 0.2487
S2 S 0.7500 0.2500 0.7513
F1 F 0.0178 0.5675 0.7345
F2 F 0.0178 0.9325 0.7345
F3 F 0.2500 0.2500 0.6080
F4 F 0.4822 0.5675 0.7345
F5 F 0.4822 0.9325 0.7345
F6 F 0.5178 0.0675 0.2655
F7 F 0.5178 0.4325 0.2655
F8 F 0.7500 0.7500 0.3920
F9 F 0.9822 0.0675 0.2655
F10 F 0.9822 0.4325 0.2655
```



(3)
LiGa4Cu2 after structural relaxation, computed with PBE-GGA.

Summary:
- Energy relative to the lowest polymorph listed for this composition: 0.000 eV per atom
- Formation enthalpy at 0 K: -164 meV per atom

The structure in CIF format:
```
data_LiGa4Cu2
_chemical_formula_sum 'Li1 Ga4 Cu2'
_cell_length_a 4.1013
_cell_length_b 4.1013
_cell_length_c 6.3900
_cell_angle_alpha 90.00
_cell_angle_beta 90.00
_cell_angle_gamma 90.00
_space_group_name_H-M_alt 'P 1'
_space_group_IT_number 1
loop_
_space_group_symop_operation_xyz
'x,y,z'
loop_
_atom_site_label
_atom_site_type_symbol
_atom_site_fract_x
_atom_site_fract_y
_atom_site_fract_z
Li1 Li 0.0000 0.0000 0.0000
Ga1 Ga 0.0000 0.5000 0.2684
Ga2 Ga 0.0000 0.5000 0.7316
Ga3 Ga 0.5000 0.0000 0.2684
Ga4 Ga 0.5000 0.0000 0.7316
Cu1 Cu 0.0000 0.0000 0.5000
Cu2 Cu 0.5000 0.5000 0.0000
```